The following is a PBE calculation of a relaxed PaNi4Os crystal, from the Alexandria database.

abc: 4.874 4.874 4.874
angles: 60.00 60.00 60.00
Fractional positions:
Pa: 0.000 0.000 0.000
Ni: 0.130 0.623 0.623
Ni: 0.623 0.130 0.623
Ni: 0.623 0.623 0.130
Ni: 0.623 0.623 0.623
Os: 0.250 0.250 0.250

Space group = F-43m (216)
Total moment = 0.8 μB/f.u.
Formation enthalpy at 0 K = -5.188 kcal/mol of atoms